A geometry-optimized Ba3NiI structure. Source: Alexandria, functional PBE-GGA.

Cell lengths 6.133, 6.133, 6.133 Å; angles 90.00, 90.00, 90.00 degrees
Fractional coordinates of all 5 atoms:
Ba (0.000, 0.000, 0.500)
Ba (0.000, 0.500, 0.000)
Ba (0.500, 0.000, 0.000)
Ni (0.000, 0.000, 0.000)
I (0.500, 0.500, 0.500)

- Final energy: -2.940 eV/atom
- Formation energy from raw total energies: -0.320 eV per atom
- Relative energy among the computed polymorphs: 173.6 meV per atom